18
Lattice="4.844 0.000 0.000 -2.422 4.195 0.000 0.000 0.000 8.521" Properties=species:S:1:pos:R:3 comment="AlCrAsO6, optimized geometry, DFT PBE+U" dft_energy_ev_per_cell=-123.2 sg="No. 163" crystal_system=trigonal n_ef_per_ev_atom=0.23 pbc="T T T"
O 3.236 2.732 3.135
O -0.747 4.169 5.386
Al 2.422 1.398 6.391
O 0.861 1.437 3.135
As 2.422 1.398 2.130
Cr 0.000 0.000 0.000
Cr 0.000 0.000 4.261
O 3.170 0.027 3.135
O 0.814 1.464 7.396
O -0.814 1.464 5.386
As 0.000 2.797 6.391
O 3.984 1.437 1.125
O 1.562 2.758 5.386
O 0.747 4.169 7.396
O 1.608 2.732 1.125
O 1.675 0.027 1.125
O -1.562 2.758 7.396
Al 0.000 2.797 2.130